First-principles (PBE-GGA) data for an optimized crystal structure of LiCa3In, as listed in Alexandria.

abc: 8.8515 7.0960 10.3146
angles: 89.83 90.00 90.00
Last column: nearest neighbours and their distance in Å.
Fractional coordinates of all 20 atoms:
Ca 0.9454 0.7482 0.3336  3 In 3.23-3.58, 3 Li 3.24-3.58, 1 Ca 3.60
Li 0.7864 0.9485 0.6205  1 In 2.80
In 0.2865 0.4455 0.8760  1 Li 2.80
Li 0.2136 0.0515 0.3795  1 In 2.80
Ca 0.9575 0.7337 0.9088  3 In 3.34-3.57, 3 Li 3.43-3.69, 2 Ca 3.58-3.65
Ca 0.3092 0.7265 0.1251  2 In 3.26-3.37, 2 Li 3.43-3.60, 2 Ca 3.58-3.60
Ca 0.0425 0.2663 0.0912  3 In 3.34-3.57, 3 Li 3.43-3.69, 2 Ca 3.58-3.65
Ca 0.5546 0.7482 0.8336  3 In 3.23-3.58, 3 Li 3.24-3.58, 1 Ca 3.60
In 0.2135 0.4455 0.3760  1 Li 2.80
Ca 0.8092 0.2735 0.3749  2 In 3.26-3.37, 2 Li 3.43-3.60, 2 Ca 3.58-3.60
Ca 0.6908 0.2735 0.8749  2 In 3.26-3.37, 2 Li 3.43-3.60, 2 Ca 3.58-3.60
Li 0.7136 0.9485 0.1205  1 In 2.80
Ca 0.5425 0.7337 0.4088  3 In 3.34-3.57, 3 Li 3.43-3.69, 2 Ca 3.58-3.65
In 0.7135 0.5545 0.1240  1 Li 2.80
Ca 0.0546 0.2518 0.6664  3 In 3.23-3.58, 3 Li 3.24-3.58, 1 Ca 3.60
Li 0.2864 0.0515 0.8795  1 In 2.80
Ca 0.4575 0.2663 0.5912  3 In 3.34-3.57, 3 Li 3.43-3.69, 2 Ca 3.58-3.65
Ca 0.4454 0.2518 0.1664  3 In 3.23-3.58, 3 Li 3.24-3.58, 1 Ca 3.60
In 0.7865 0.5545 0.6240  1 Li 2.80
Ca 0.1908 0.7265 0.6251  2 In 3.26-3.37, 2 Li 3.43-3.60, 2 Ca 3.58-3.60

polymorph energy (0 for the lowest one)	36	meV per atom
space group	P2_1/c
crystal system	monoclinic
formation energy from the elements	-0.1973	eV/atom